! BSeCl3 | Alexandria | GGA-PBE | relaxed; values from VASP
&SYSTEM
  ibrav = 0, nat = 5, ntyp = 3
/
ATOMIC_SPECIES
B 10.81 B.upf
Se 78.96 Se.upf
Cl 35.45 Cl.upf
ATOMIC_POSITIONS angstrom
B 0.0000 0.0000 0.0000
Se -1.0857 3.3297 1.8014
Cl -1.4380 0.1337 1.7563
Cl 1.4091 1.4476 1.0435
Cl -1.0568 1.7483 -0.9984
CELL_PARAMETERS angstrom
-2.1136 3.4966 -1.9967
-2.8759 0.2674 3.5126
2.8182 2.8953 2.0870
! **ΔE to the lowest computed polymorph**: 0.000 eV/atom
! **Raw formation energy**: 652 meV per atom
! **Symmetry**: No. 221



! Ta2Tl2Ir | Alexandria | GGA-PBE | relaxed; values from VASP
&SYSTEM
  ibrav = 0, nat = 10, ntyp = 3
/
ATOMIC_SPECIES
Tl 204.38 Tl.upf
Ir 192.22 Ir.upf
Ta 180.95 Ta.upf
ATOMIC_POSITIONS angstrom
Tl -0.8257 -6.3445 0.1182
Tl -4.0419 -5.9697 -1.7705
Tl -3.5654 -2.2523 -1.8440
Tl -0.3493 -2.6271 0.0447
Ir 0.0000 0.0000 0.0000
Ir -2.1956 -4.2984 -0.8629
Ta -0.9918 -4.4577 2.2731
Ta -3.6301 -6.7292 0.9653
Ta -5.4859 -3.8000 -0.3786
Ta -2.8476 -1.5285 0.9292
CELL_PARAMETERS angstrom
-5.8377 -1.9729 -3.1798
1.4466 -6.6239 1.4540
-2.0866 0.3390 3.6203
! **ΔE to the lowest computed polymorph**: 0.000 eV/atom
! **E_form**: 882.9 meV/atom
! **Symmetry**: No. 127